An optimized crystal structure of YCr3Cu, computed with PBE.

a b c (Å): 4.6756 4.6756 4.6756
angles (deg): 90.00 90.00 90.00
Last column: magnetic moment on the atom in μB.
Sites, in units of the cell vectors:
Y  0.5000  0.5000  0.5000  0.04
Cr  0.0000  0.0000  0.5000  3.63
Cr  0.5000  0.0000  0.0000  3.14
Cr  0.0000  0.5000  0.0000  3.48
Cu  0.0000  0.0000  0.0000  0.32

Summary:
For the total energy, the calculation gives -6.964 eV/atom. The size of the total moment is 11.796 μB/f.u. The formation energy from the elements is 0.922 eV/atom. The value obtained for the energy above the most stable polymorph in this dataset is 0.000 eV per atom. Its space group is Pm-3m, No. 221. Its crystal system is cubic.